# ZrCd (GGA-PBEsol, optimized geometry)
data_ZrCd
_cell_length_a 9.908
_cell_length_b 8.555
_cell_length_c 5.907
_cell_angle_alpha 90.00
_cell_angle_beta 90.00
_cell_angle_gamma 90.00
_space_group_name_H-M_alt 'P b c m'
_space_group_IT_number 57
loop_
_space_group_symop_operation_xyz
'x,y,z'
'-x,-y,-z'
'-x,-y,z+1/2'
'x,y,-z+1/2'
'x,-y+1/2,-z'
'-x,y+1/2,z'
'-x,y+1/2,-z+1/2'
'x,-y+1/2,z+1/2'
loop_
_atom_site_label
_atom_site_type_symbol
_atom_site_fract_x
_atom_site_fract_y
_atom_site_fract_z
_atom_site_occupancy
Zr1 Zr 0.123 0.082 0.250 1
Zr2 Zr 0.374 0.250 0.000 1
Zr3 Zr 0.375 0.585 0.250 1
Cd1 Cd 0.126 0.750 0.000 1
Cd2 Cd 0.127 0.085 0.750 1
Cd3 Cd 0.376 0.580 0.750 1
# energy of formation = -76.5 meV per atom
# crystal system = orthorhombic
# energy = -5.2199 eV per atom
# magnetic moment = 0.0 μB per formula unit